[1]
Below is a relaxed Y3Al3Cr2O12 crystal, with properties calculated at the PBE+U level.

Cell and atoms, written as POSCAR:
```
Y3Al3Cr2O12
1.0
-5.421 -4.957 7.691
10.371 -0.086 2.353
-3.371 10.055 -0.798
Y Al Cr O
12 12 8 48
direct
0.250 0.375 0.125 Y
0.750 0.625 0.875 Y
0.750 0.125 0.375 Y
0.125 0.250 0.375 Y
0.375 0.750 0.125 Y
0.250 0.875 0.625 Y
0.875 0.750 0.625 Y
0.625 0.250 0.875 Y
0.375 0.125 0.250 Y
0.625 0.875 0.750 Y
0.125 0.375 0.750 Y
0.875 0.625 0.250 Y
0.250 0.625 0.375 Al
0.750 0.375 0.625 Al
0.750 0.875 0.125 Al
0.375 0.250 0.625 Al
0.625 0.750 0.375 Al
0.250 0.125 0.875 Al
0.125 0.750 0.875 Al
0.875 0.250 0.125 Al
0.625 0.375 0.250 Al
0.375 0.625 0.750 Al
0.875 0.125 0.750 Al
0.125 0.875 0.250 Al
0.000 0.000 0.000 Cr
0.500 0.000 0.500 Cr
0.000 0.500 0.500 Cr
0.500 0.000 0.000 Cr
0.500 0.500 0.000 Cr
0.500 0.500 0.500 Cr
0.000 0.000 0.500 Cr
0.000 0.500 0.000 Cr
0.477 0.378 0.293 O
0.523 0.622 0.707 O
0.585 0.184 0.207 O
0.915 0.122 0.599 O
0.293 0.477 0.378 O
0.316 0.915 0.293 O
0.415 0.816 0.793 O
0.085 0.878 0.401 O
0.707 0.523 0.622 O
0.684 0.085 0.707 O
0.023 0.316 0.901 O
0.207 0.585 0.184 O
0.122 0.023 0.207 O
0.977 0.684 0.099 O
0.793 0.415 0.816 O
0.878 0.977 0.793 O
0.599 0.915 0.122 O
0.184 0.477 0.599 O
0.401 0.085 0.878 O
0.816 0.523 0.401 O
0.901 0.023 0.316 O
0.378 0.585 0.901 O
0.099 0.977 0.684 O
0.622 0.415 0.099 O
0.378 0.293 0.477 O
0.585 0.901 0.378 O
0.622 0.707 0.523 O
0.415 0.099 0.622 O
0.122 0.599 0.915 O
0.023 0.207 0.122 O
0.878 0.401 0.085 O
0.977 0.793 0.878 O
0.316 0.901 0.023 O
0.915 0.293 0.316 O
0.684 0.099 0.977 O
0.085 0.707 0.684 O
0.184 0.207 0.585 O
0.477 0.599 0.184 O
0.816 0.793 0.415 O
0.523 0.401 0.816 O
0.293 0.316 0.915 O
0.707 0.684 0.085 O
0.207 0.122 0.023 O
0.793 0.878 0.977 O
0.901 0.378 0.585 O
0.099 0.622 0.415 O
0.599 0.184 0.477 O
0.401 0.816 0.523 O
```

Values from the calculation:
size of the total moment = 6.00 μB/f.u.
DOS(E_F) = 0.00 states/eV/cell
uncorrected energy = -661.119 eV for the cell shown
volume = 926 Å³ per cell

---

[2]
Below is a relaxed Y2AlCrO6 crystal, with properties calculated at the PBE+U level.

Cell and atoms, written as POSCAR:
```
Y2AlCrO6
1.0
3.985 0.000 0.000
0.000 5.331 0.000
0.000 0.000 5.331
Y Al Cr O
2 1 1 6
direct
0.051 0.500 0.000 Y
0.051 0.000 0.500 Y
0.627 0.000 0.000 Al
0.643 0.500 0.500 Cr
0.689 0.243 0.243 O
0.689 0.243 0.757 O
0.153 0.500 0.500 O
0.166 0.000 0.000 O
0.689 0.757 0.757 O
0.689 0.757 0.243 O
```

Values from the calculation:
size of the total moment = 3.00 μB/f.u.
DOS(E_F) = 0.00 states/eV/cell
uncorrected energy = -82.536 eV for the cell shown
volume = 113 Å³ per cell

---

[3]
Below is a relaxed AlZnCrO4 crystal, with properties calculated at the PBE+U level.

Cell and atoms, written as POSCAR:
```
AlZnCrO4
1.0
5.831 0.000 0.000
2.916 5.121 0.059
2.916 1.616 4.860
Al Zn Cr O
2 2 2 8
direct
0.500 0.000 0.500 Al
0.000 0.000 0.500 Al
0.627 0.623 0.123 Zn
0.373 0.377 0.877 Zn
0.000 0.000 0.000 Cr
0.000 0.500 0.500 Cr
0.758 0.775 0.710 O
0.242 0.790 0.725 O
0.758 0.210 0.275 O
0.242 0.225 0.290 O
0.211 0.770 0.270 O
0.749 0.770 0.270 O
0.251 0.230 0.730 O
0.789 0.230 0.730 O
```

Values from the calculation:
size of the total moment = 3.00 μB/f.u.
DOS(E_F) = 0.00 states/eV/cell
uncorrected energy = -96.234 eV for the cell shown
volume = 145 Å³ per cell

---

[4]
Below is a relaxed AlZnCr2O6 crystal, with properties calculated at the PBE+U level.

Cell and atoms, written as POSCAR:
```
AlZnCr2O6
1.0
4.996 0.036 -0.051
2.530 4.364 -0.037
2.461 1.454 4.542
Al Zn Cr O
1 1 2 6
direct
0.313 0.322 0.047 Al
0.795 0.799 0.598 Zn
0.519 0.516 0.446 Cr
0.018 0.008 0.968 Cr
0.604 0.233 0.231 O
0.241 0.935 0.219 O
0.931 0.603 0.235 O
0.382 0.723 0.760 O
0.726 0.129 0.756 O
0.132 0.394 0.757 O
```

Values from the calculation:
size of the total moment = 5.00 μB/f.u.
uncorrected energy = -69.331 eV for the cell shown
volume = 99 Å³ per cell

---

[5]
Below is a relaxed ZrAlCr2O6 crystal, with properties calculated at the PBE+U level.

Cell and atoms, written as POSCAR:
```
ZrAlCr2O6
1.0
-4.921 -0.306 1.356
-3.120 -3.453 -2.372
-1.610 -4.674 2.782
Zr Al Cr O
1 1 2 6
direct
0.799 0.820 0.574 Zr
0.310 0.326 0.045 Al
0.527 0.527 0.423 Cr
0.013 0.009 0.966 Cr
0.603 0.187 0.232 O
0.211 0.954 0.235 O
0.953 0.595 0.236 O
0.404 0.711 0.791 O
0.718 0.121 0.752 O
0.123 0.412 0.760 O
```

Values from the calculation:
size of the total moment = 7.00 μB/f.u.
uncorrected energy = -81.927 eV for the cell shown
volume = 110 Å³ per cell